Density functional theory data (GGA+U) for a relaxed SrMnO3 crystal.

Its calculated total energy is -6.868 eV per atom. For the calculated density, the calculation gives 5.15 g/cm³.

The space group is P6_3/mmc (No. 194) and the conventional cell measures 5.5340, 5.5340 and 9.2738 Å, with angles of 90.00, 90.00 and 120.00 degrees. The distinct sites, in fractional coordinates, are Sr at (0.0000, 0.0000, 0.0000), Sr at (0.3333, 0.6667, 0.2500), Mn at (0.3333, 0.6667, 0.6128), O at (0.0000, 0.5000, 0.0000) and O at (0.1808, 0.3617, 0.7500).